Entry 1:
Entry from Alexandria: a relaxed Nd5SmDy2 crystal (PBE).

Cell lengths 5.146, 7.274, 14.549 Å; angles 90.00, 90.00, 90.00 degrees
Atoms (fractional coordinates):
Nd: 0.000 0.000 0.000
Nd: 0.000 0.500 0.500
Nd: 0.000 0.499 0.750
Nd: 0.000 0.501 0.250
Nd: 0.000 0.001 0.250
Nd: 0.000 0.999 0.750
Nd: 0.500 0.250 0.875
Nd: 0.500 0.750 0.125
Nd: 0.500 0.250 0.375
Nd: 0.500 0.750 0.625
Sm: 0.000 0.000 0.500
Sm: 0.000 0.500 0.000
Dy: 0.500 0.249 0.625
Dy: 0.500 0.751 0.375
Dy: 0.500 0.251 0.125
Dy: 0.500 0.749 0.875

As for the uncorrected energy: -75.300 eV/cell. The space group is Pbam (55).


Entry 2:
Entry from Alexandria: a relaxed NdSm6Dy3 crystal (PBE).

Cell lengths 6.462, 11.724, 11.724 Å; angles 130.81, 90.00, 90.00 degrees
Atoms (fractional coordinates):
Nd: 0.008 0.158 0.842
Nd: 0.508 0.842 0.158
Sm: 0.076 0.738 0.620
Sm: 0.576 0.620 0.738
Sm: 0.330 0.456 0.893
Sm: 0.830 0.893 0.456
Sm: 0.300 0.986 0.014
Sm: 0.800 0.301 0.699
Sm: 0.300 0.699 0.301
Sm: 0.800 0.014 0.986
Sm: 0.330 0.107 0.544
Sm: 0.830 0.544 0.107
Sm: 0.076 0.380 0.262
Sm: 0.576 0.262 0.380
Dy: 0.484 0.959 0.704
Dy: 0.984 0.704 0.959
Dy: 0.097 0.419 0.581
Dy: 0.597 0.581 0.419
Dy: 0.984 0.041 0.296
Dy: 0.484 0.296 0.041

As for the uncorrected energy: -91.270 eV/cell. The calculation puts the energy above the most stable polymorph in this dataset at 0.0000 eV/atom. The space group is Cmc2_1 (36).


Entry 3:
Entry from Alexandria: a relaxed Nd2SmDy7 crystal (PBE).

Cell lengths 6.187, 8.018, 11.329 Å; angles 135.15, 123.22, 58.87 degrees
Atoms (fractional coordinates):
Nd: 0.500 0.900 0.601
Nd: 0.500 0.100 0.399
Sm: 0.000 0.000 0.000
Dy: 0.000 0.599 0.399
Dy: 0.000 0.401 0.601
Dy: 0.500 0.701 0.801
Dy: 0.500 0.299 0.199
Dy: 0.999 0.799 0.199
Dy: 0.001 0.201 0.801
Dy: 0.500 0.500 0.000

As for the uncorrected energy: -46.302 eV/cell. The calculation puts the energy above the most stable polymorph in this dataset at 0.0000 eV/atom. The space group is P-1 (2).


Entry 4:
Entry from Alexandria: a relaxed NdSm8Dy3 crystal (PBE).

Cell lengths 8.744, 8.744, 8.744 Å; angles 97.22, 99.00, 135.89 degrees
Atoms (fractional coordinates):
Nd: 0.000 0.000 0.000
Sm: 0.502 0.246 0.258
Sm: 0.498 0.756 0.743
Sm: 0.012 0.754 0.257
Sm: 0.988 0.244 0.742
Sm: 0.166 0.251 0.417
Sm: 0.834 0.251 0.085
Sm: 0.166 0.749 0.915
Sm: 0.834 0.749 0.583
Dy: 0.500 0.757 0.257
Dy: 0.500 0.243 0.743
Dy: 0.000 0.500 0.500

As for the uncorrected energy: -52.332 eV/cell. The space group is I222 (23).


Question: Look up the uncorrected energy of the second one.
Answer: -91.270 eV/cell